[1]
# Sr2Ag4Sn3Hg

Crystalline Sr2Ag4Sn3Hg at its relaxed geometry (GGA-PBE, the Alexandria database).

V	260.2	Å³/cell
DOS(E_F)	0.551	states/eV/atom
ΔH_f (0 K)	-0.31	eV/atom
size of the total moment	0.00	μB/f.u.

a b c (Å): 4.6995 4.6995 11.7832
angles (deg): 90.00 90.00 90.00
Atoms (fractional coordinates):
Sr (0.5000, 0.0000, 0.2428)
Sr (0.0000, 0.5000, 0.7572)
Ag (0.5000, 0.5000, 0.0000)
Ag (0.0000, 0.0000, 0.0000)
Ag (0.5000, 0.0000, 0.6392)
Ag (0.0000, 0.5000, 0.3608)
Sn (0.0000, 0.0000, 0.5000)
Sn (0.5000, 0.0000, 0.8689)
Sn (0.0000, 0.5000, 0.1311)
Hg (0.5000, 0.5000, 0.5000)

***

[2]
# Ce4TeP2Se

Crystalline Ce4TeP2Se at its relaxed geometry (GGA-PBE, the Alexandria database).

raw formation energy	-12.52	eV per formula unit
V	213.4	Å³/cell
DOS(E_F)	2.909	states/eV/atom
size of the total moment	3.41	μB/f.u.

a b c (Å): 4.1858 7.4237 7.2622
angles (deg): 71.02 90.00 90.00
Last column: magnetic moment on the atom in μB.
Atoms (fractional coordinates):
Ce (0.0000, 0.7785, 0.7329)  0.72
Ce (0.0000, 0.2215, 0.2671)  0.72
Ce (0.5000, 0.7731, 0.2499)  0.75
Ce (0.5000, 0.2269, 0.7501)  0.75
Te (0.5000, 0.5000, 0.0000)  -0.02
P (0.0000, 0.0000, 0.0000)  -0.03
P (0.5000, 0.0000, 0.5000)  -0.03
Se (0.0000, 0.5000, 0.5000)  -0.02

***

[3]
# ZrSc2RuC

Crystalline ZrSc2RuC at its relaxed geometry (GGA-PBE, the Alexandria database).

V	87.7	Å³/cell
DOS(E_F)	0.630	states/eV/atom
ΔH_f (0 K)	-0.29	eV/atom
size of the total moment	0.00	μB/f.u.

a b c (Å): 4.3865 4.3864 4.5594
angles (deg): 90.00 90.00 90.00
Atoms (fractional coordinates):
Zr (0.0000, 0.0000, 0.5000)
Sc (0.0000, 0.5000, 0.0000)
Sc (0.5000, 0.0000, 0.0000)
Ru (0.5000, 0.5000, 0.5000)
C (0.0000, 0.0000, 0.9999)

***

[4]
# MoOsAu2

Crystalline MoOsAu2 at its relaxed geometry (GGA-PBE, the Alexandria database).

V	65.7	Å³/cell
offset from the most stable computed form	545	meV per atom
DOS(E_F)	1.000	states/eV/atom
ΔH_f (0 K)	0.71	eV/atom
size of the total moment	0.00	μB/f.u.

a b c (Å): 4.7568 4.7568 2.9019
angles (deg): 90.00 90.00 90.00
Atoms (fractional coordinates):
Au (0.0000, 0.0000, 0.0000)
Au (0.5000, 0.5000, 0.0000)
Mo (0.5000, 0.0000, 0.5000)
Os (0.0000, 0.5000, 0.5000)

***

[5]
# Nd2Bi5Pb

Crystalline Nd2Bi5Pb at its relaxed geometry (GGA-PBE, the Alexandria database).

V	249.3	Å³/cell
DOS(E_F)	0.433	states/eV/atom
ΔH_f (0 K)	-0.44	eV/atom
size of the total moment	0.00	μB/f.u.

a b c (Å): 6.9978 7.0009 6.9987
angles (deg): 117.99 117.98 93.53
Atoms (fractional coordinates):
Nd (0.2780, 0.7779, 0.5001)
Nd (0.7779, 0.2778, 0.4999)
Bi (0.2779, 0.2779, 0.5001)
Bi (0.2779, 0.7778, 0.0000)
Bi (0.7778, 0.2780, 0.0000)
Bi (0.7778, 0.7778, 0.4999)
Bi (0.2778, 0.2778, 0.0000)
Pb (0.7781, 0.7781, 0.0000)

***

[6]
# Ba2HoGeSe5

Crystalline Ba2HoGeSe5 at its relaxed geometry (GGA-PBE, the Alexandria database).

raw formation energy	-13.81	eV per formula unit
V	552.9	Å³/cell
DOS(E_F)	0.151	states/eV/atom
size of the total moment	0.00	μB/f.u.

a b c (Å): 4.4691 9.6570 13.1691
angles (deg): 90.00 90.00 103.38
Atoms (fractional coordinates):
Ba (0.8748, 0.7495, 0.8274)
Ba (0.1218, 0.2436, 0.6876)
Ba (0.1252, 0.2505, 0.3274)
Ba (0.8782, 0.7564, 0.1876)
Ho (0.7959, 0.5918, 0.5269)
Ho (0.2041, 0.4082, 0.0269)
Ge (0.5571, 0.1141, 0.9373)
Ge (0.4429, 0.8859, 0.4373)
Se (0.3498, 0.6995, 0.0087)
Se (0.6851, 0.3702, 0.8768)
Se (0.5004, 0.0007, 0.7719)
Se (0.2996, 0.5992, 0.6644)
Se (0.9559, 0.9118, 0.5230)
Se (0.6502, 0.3005, 0.5087)
Se (0.3149, 0.6298, 0.3768)
Se (0.4996, 0.9993, 0.2719)
Se (0.7004, 0.4008, 0.1644)
Se (0.0441, 0.0882, 0.0230)

***

Number 1: DFT total energy -3.0203 eV/atom. Number 2: DFT total energy -6.7130 eV/atom. Number 3: DFT total energy -8.2337 eV/atom. Number 4: DFT total energy -6.4390 eV/atom. Number 5: DFT total energy -4.5199 eV/atom. Number 6: DFT total energy -4.9197 eV/atom.